Below is a geometry-optimized Cs3K2PaS6 structure, with properties calculated at the PBE level.

## Properties
**Magnetization**: 0.177 μB per atom
**Crystal system**: monoclinic
**VASP energy**: -4.431 eV/atom
**DOS(E_F)**: 6.65 states/eV/f.u.
**Space group**: C2/m, No. 12
**Volume**: 431.1 Å³ per cell

a b c (Å): 7.956 7.956 8.268
angles (deg): 99.25 99.25 119.62
Site moments in Bohr magnetons follow the coordinates.
Element x y z (fractional)
S: 0.064 0.339 0.193  0.21
S: 0.936 0.661 0.807  0.21
S: 0.205 0.205 0.803  0.22
S: 0.661 0.936 0.807  0.21
S: 0.339 0.064 0.193  0.21
S: 0.795 0.795 0.197  0.22
Cs: 0.178 0.822 0.500  0.01
Cs: 0.500 0.500 0.500  0.01
Cs: 0.822 0.178 0.500  0.01
Pa: 0.000 0.000 0.000  -0.16
K: 0.334 0.666 0.000  0.01
K: 0.666 0.334 0.000  0.01